The following is a PBE-GGA calculation of a relaxed CsSbPb3 crystal, from the Alexandria database.

abc: 6.2467 6.2467 6.2467
angles: 90.00 90.00 90.00
Fractional coordinates of all 5 atoms:
Sb 0.5000 0.5000 0.5000
Cs 0.0000 0.0000 0.0000
Pb 0.0000 0.0000 0.5000
Pb 0.5000 0.0000 0.0000
Pb 0.0000 0.5000 0.0000

## Properties
uncorrected formation energy	1.3289	eV/atom

=====

The following is a PBE-GGA calculation of a relaxed TiSi3Au crystal, from the Alexandria database.

abc: 4.7720 4.7720 4.7720
angles: 90.00 90.00 90.00
Fractional coordinates of all 5 atoms:
Au 0.5000 0.5000 0.5000
Si 0.0000 0.5000 0.0000
Si 0.0000 0.0000 0.5000
Ti 0.0000 0.0000 0.0000
Si 0.5000 0.0000 0.0000

## Properties
uncorrected formation energy	0.7558	eV/atom

=====

The following is a PBE-GGA calculation of a relaxed KSnBi crystal, from the Alexandria database.

abc: 4.6506 7.0010 7.5774
angles: 90.00 90.00 90.00
Fractional coordinates of all 6 atoms:
Bi 0.0000 0.1229 0.1298
K 0.0000 0.5369 0.8349
Sn 0.0000 0.1301 0.5371
Bi 0.5000 0.8771 0.6298
Sn 0.5000 0.8699 0.0371
K 0.5000 0.4631 0.3349

## Properties
energy relative to the elements	-0.203	eV per atom

=====

The following is a PBE-GGA calculation of a relaxed Ho3Tm2Mg4 crystal, from the Alexandria database.

abc: 5.6354 9.4665 9.4665
angles: 82.15 89.98 89.98
Fractional coordinates of all 18 atoms:
Mg 0.5004 0.8032 0.3272
Mg 0.4994 0.5000 0.8316
Mg 0.0004 0.3272 0.8032
Tm 0.9993 0.6524 0.8396
Mg 0.9996 0.6728 0.1968
Ho 0.2500 0.5003 0.4997
Tm 0.4993 0.8396 0.6524
Mg 0.0006 0.1684 0.5000
Ho 0.4993 0.8174 0.9928
Tm 0.0007 0.3476 0.1604
Tm 0.5007 0.1604 0.3476
Mg 0.4996 0.1968 0.6728
Ho 0.7500 0.4997 0.5003
Mg 0.5006 0.5000 0.1684
Ho 0.5007 0.1826 0.0072
Ho 0.0007 0.0072 0.1826
Mg 0.9994 0.8316 0.5000
Ho 0.9993 0.9928 0.8174

## Properties
energy relative to the elements	0.063	eV per atom

=====

Mass density: 5970; 5029; 4938; 6173 (kg/m3)